(1)
Entry from Alexandria: CsCaReIr2 after structural relaxation (PBE).

Results
The calculation puts the volume at 26.195 A^3/atom. The calculation puts the total energy at -5.47 eV/atom.

a = 4.8860 Å, b = 4.8860 Å, c = 5.4863 Å
α = 90.00°, β = 90.00°, γ = 90.00°
Space group P4/mmm (No. 123)
Asymmetric unit:
Cs 0.0000 0.0000 0.0000 [1 per cell]
Ca 0.5000 0.5000 0.0000 [1 per cell]
Re 0.0000 0.0000 0.5000 [1 per cell]
Ir 0.0000 0.5000 0.5000 [2 per cell]


(2)
Entry from Alexandria: CsSrCa2Ir after structural relaxation (PBE).

Results
The calculation puts the volume at 40.902 A^3/atom. The calculation puts the total energy at -3.12 eV/atom.

a = 5.7965 Å, b = 5.7965 Å, c = 6.0866 Å
α = 90.00°, β = 90.00°, γ = 90.00°
Space group P4/mmm (No. 123)
Asymmetric unit:
Cs 0.0000 0.0000 0.0000 [1 per cell]
Sr 0.5000 0.5000 0.0000 [1 per cell]
Ca 0.0000 0.5000 0.5000 [2 per cell]
Ir 0.5000 0.5000 0.5000 [1 per cell]


(3)
Entry from Alexandria: CsCa2TlIr after structural relaxation (PBE).

Results
The calculation puts the volume at 35.253 A^3/atom. The calculation puts the total energy at -3.31 eV/atom.

a = 5.6729 Å, b = 5.6729 Å, c = 5.4771 Å
α = 90.00°, β = 90.00°, γ = 90.00°
Space group P4/mmm (No. 123)
Asymmetric unit:
Cs 0.0000 0.0000 0.0000 [1 per cell]
Ca 0.0000 0.5000 0.5000 [2 per cell]
Tl 0.5000 0.5000 0.0000 [1 per cell]
Ir 0.5000 0.5000 0.5000 [1 per cell]


(4)
Entry from Alexandria: CsCa2YIr after structural relaxation (PBE).

Results
The calculation puts the volume at 37.784 A^3/atom. The calculation puts the total energy at -4.13 eV/atom.

a = 5.8887 Å, b = 5.8887 Å, c = 5.4480 Å
α = 90.00°, β = 90.00°, γ = 90.00°
Space group P4/mmm (No. 123)
Asymmetric unit:
Cs 0.0000 0.0000 0.0000 [1 per cell]
Ca 0.0000 0.5000 0.5000 [2 per cell]
Y 0.5000 0.5000 0.0000 [1 per cell]
Ir 0.5000 0.5000 0.5000 [1 per cell]


(5)
Entry from Alexandria: CsCaZn2Ir after structural relaxation (PBE).

Results
The calculation puts the volume at 28.215 A^3/atom. The calculation puts the total energy at -2.88 eV/atom.

a = 5.1483 Å, b = 5.1483 Å, c = 5.3225 Å
α = 90.00°, β = 90.00°, γ = 90.00°
Space group P4/mmm (No. 123)
Asymmetric unit:
Cs 0.0000 0.0000 0.0000 [1 per cell]
Ca 0.5000 0.5000 0.0000 [1 per cell]
Zn 0.0000 0.5000 0.5000 [2 per cell]
Ir 0.5000 0.5000 0.5000 [1 per cell]


(6)
Entry from Alexandria: CsK2Ca after structural relaxation (PBE).

Results
The calculation puts the volume at 70.300 A^3/atom. The calculation puts the energy above the lowest structure with this stoichiometry at 0.081 eV/atom.

a = 4.4077 Å, b = 4.4077 Å, c = 50.1397 Å
α = 90.00°, β = 90.00°, γ = 120.00°
Space group R-3m (No. 166, hexagonal axes)
Asymmetric unit:
Cs 0.0000 0.0000 0.0000 [3 per cell]
K 0.0000 0.0000 0.4199 [6 per cell]
Ca 0.0000 0.0000 0.5000 [3 per cell]


Q: volume of number 2 (CsSrCa2Ir)?
A: 40.902 A^3/atom


Q: Among the records above, which one has the lowest volume?
A: CsCaReIr2


Q: Which value of volume does entry 5 give?
A: 28.215 A^3/atom